Entry from Alexandria: a relaxed KAsClO2 crystal (PBE).

Summary:
**Spin magnetization**: 0.73 Bohr magnetons per cell
**Final energy**: -4.736 eV/atom

Unit cell a=4.115 b=7.919 c=7.942 alpha=118.20 beta=90.00 gamma=90.00
Positions (direct):
K1 0.250 0.725 0.999
K2 0.750 0.275 0.001
Cl1 0.750 0.042 0.253
Cl2 0.250 0.958 0.747
O1 0.250 0.523 0.202
O2 0.750 0.477 0.798
O3 0.250 0.425 0.522
O4 0.750 0.575 0.478
As1 0.250 0.613 0.443
As2 0.750 0.387 0.557